Record 1
BC, optimized geometry, DFT PBE; polymorph energy (0 for the lowest one) = 229 meV per atom; energy of formation = 0.38 eV/atom; DOS at the Fermi energy = 0.15 states/eV per atom; size of the total moment = 0.0000 μB/atom
1.0
2.5308 0.0000 0.0000
0.0000 4.6797 -0.0798
0.0000 -0.1156 6.7844
B C
6 6
Cartesian
0.0000 3.0138 4.4770
0.0000 1.5022 2.4406
0.0000 -0.0128 1.4844
1.2654 2.3301 1.4504
1.2654 0.7029 6.1984
1.2654 3.8451 2.4067
0.0000 4.4791 6.6307
0.0000 3.0181 6.2237
1.2654 0.6986 4.4517
1.2654 2.2685 6.6420
1.2654 3.9172 3.9650
0.0000 1.4482 4.0334


Record 2
B3C, optimized geometry, DFT PBE; polymorph energy (0 for the lowest one) = 207 meV per atom; energy of formation = 0.45 eV/atom; DOS at the Fermi energy = 0.07 states/eV per atom; size of the total moment = 0.0000 μB/atom
1.0
7.3552 -1.4230 -0.1747
7.3552 1.4230 -0.1747
7.1382 0.0000 2.2805
C B
2 6
Cartesian
18.4638 0.0000 1.6320
3.3849 0.0000 0.2992
6.6119 0.0000 0.5844
1.7964 0.0000 0.1588
15.2367 0.0000 1.3467
13.4699 0.0000 1.1906
20.0522 0.0000 1.7724
8.3787 0.0000 0.7406


Record 3
B7C5, optimized geometry, DFT PBE; polymorph energy (0 for the lowest one) = 234 meV per atom; energy of formation = 0.40 eV/atom; DOS at the Fermi energy = 0.19 states/eV per atom; size of the total moment = 0.0000 μB/atom
1.0
-2.1047 1.4927 0.3191
-1.2910 -2.4273 2.8393
4.0847 4.5340 5.7334
C B
5 7
Cartesian
-0.6535 0.4372 4.2365
2.0427 3.4299 8.0210
1.4666 0.6602 6.5857
0.3655 0.1628 1.6490
0.6924 1.9295 6.1335
-1.0790 -2.1460 2.9213
1.6785 3.2372 6.5204
1.8524 1.8073 3.7643
-1.0398 0.2456 2.5848
-0.0218 -0.9724 4.4053
2.9476 3.0230 5.3015
0.2599 1.6626 4.5293


Record 4
BC, optimized geometry, DFT PBE; polymorph energy (0 for the lowest one) = 285 meV per atom; energy of formation = 0.44 eV/atom; DOS at the Fermi energy = 0.15 states/eV per atom; size of the total moment = 0.0000 μB/atom
1.0
4.8426 0.1825 -0.1655
-2.6503 3.7379 -1.0660
0.5327 -0.1187 4.1603
C B
6 6
Cartesian
2.4359 0.7378 2.0963
0.8831 1.4247 0.0664
2.7565 1.1515 3.5540
-0.0128 0.0751 0.0700
-0.2013 2.0616 2.1648
2.2799 3.3700 1.5495
-0.0833 2.5121 -0.5880
1.4141 1.9408 1.5298
-1.0058 3.0239 1.1149
3.0657 2.7013 -0.6745
3.2106 0.4468 0.3981
4.1397 0.7548 1.8495


Record 5
BC, optimized geometry, DFT PBE; polymorph energy (0 for the lowest one) = 180 meV per atom; energy of formation = 0.33 eV/atom; DOS at the Fermi energy = 0.13 states/eV per atom; size of the total moment = 0.0000 μB/atom
1.0
5.9421 0.0404 -1.2642
5.3346 2.6176 -1.2642
0.0717 0.0169 5.3763
B C
6 6
Cartesian
2.9300 0.6906 4.0430
10.1747 2.3982 -1.0512
7.4193 1.7488 0.1200
0.3250 0.0766 0.4080
3.0870 0.7276 1.3610
10.1270 2.3870 1.1076
0.1152 0.0272 2.6236
3.7644 0.8873 -0.0557
6.5916 1.5537 1.5063
6.6051 1.5568 -1.2775
7.4369 1.7529 2.7913
3.8220 0.9009 2.7428


Record 6
B7C5, optimized geometry, DFT PBE; polymorph energy (0 for the lowest one) = 271 meV per atom; energy of formation = 0.44 eV/atom; DOS at the Fermi energy = 0.17 states/eV per atom; size of the total moment = 0.0000 μB/atom
1.0
-2.2909 -3.0131 4.6060
5.0912 0.7431 -2.5646
0.6956 2.8397 2.2036
C B
5 7
Cartesian
0.5722 1.3111 2.6292
-0.7372 -0.8977 4.5262
3.2571 0.6201 2.6723
0.6734 2.7491 2.1333
4.2549 1.5565 -0.2121
3.2243 2.1437 2.2711
1.7026 -1.4888 2.8319
1.7346 0.2306 2.0804
-0.9295 -0.6248 2.9872
1.4295 0.5734 0.2606
0.9600 1.2366 4.1548
3.0762 2.5380 0.3988